A relaxed structure of TlTe3O, computed with GGA-PBEsol.

Cell lengths 4.9093, 4.9093, 4.9093 Å; angles 90.00, 90.00, 90.00 degrees
Sites, in units of the cell vectors:
O  0.0000  0.0000  0.0000
Te  0.5000  0.0000  0.0000
Te  0.0000  0.0000  0.5000
Tl  0.5000  0.5000  0.5000
Te  0.0000  0.5000  0.0000

## Properties
Mass density in g cm⁻³: 8.47
M_tot in μB per formula unit: 0.00
DFT total energy in Ry per atom: -0.2737
Formation energy without anion corrections in eV per atom: -0.03